# PBE AcCeHoPb, optimized geometry
# * DOS at the Fermi energy: 10.60 states/eV/f.u.
# * spin magnetization: 0.369 μB/atom
# * uncorrected energy: -4.601 eV per atom
data_AcCeHoPb
_chemical_formula_sum 'Ac1 Ce1 Ho1 Pb1'
_cell_length_a 5.6350
_cell_length_b 5.6350
_cell_length_c 5.6350
_cell_angle_alpha 60.00
_cell_angle_beta 60.00
_cell_angle_gamma 60.00
_space_group_name_H-M_alt 'P 1'
_space_group_IT_number 1
loop_
_space_group_symop_operation_xyz
'x,y,z'
loop_
_atom_site_label
_atom_site_type_symbol
_atom_site_fract_x
_atom_site_fract_y
_atom_site_fract_z
Ac1 Ac 0.5000 0.5000 0.5000
Pb1 Pb 0.0000 0.0000 0.0000
Ce1 Ce 0.2500 0.2500 0.2500
Ho1 Ho 0.7500 0.7500 0.7500

# PBE AcCePmHo, optimized geometry
# * DOS at the Fermi energy: 11.74 states/eV/f.u.
# * spin magnetization: 0.245 μB/atom
# * uncorrected energy: -4.636 eV per atom
data_AcCePmHo
_chemical_formula_sum 'Ac1 Ce1 Pm1 Ho1'
_cell_length_a 5.8663
_cell_length_b 5.8663
_cell_length_c 5.8663
_cell_angle_alpha 60.00
_cell_angle_beta 60.00
_cell_angle_gamma 60.00
_space_group_name_H-M_alt 'P 1'
_space_group_IT_number 1
loop_
_space_group_symop_operation_xyz
'x,y,z'
loop_
_atom_site_label
_atom_site_type_symbol
_atom_site_fract_x
_atom_site_fract_y
_atom_site_fract_z
Ho1 Ho 0.0000 0.0000 0.0000
Ce1 Ce 0.7500 0.7500 0.7500
Pm1 Pm 0.5000 0.5000 0.5000
Ac1 Ac 0.2500 0.2500 0.2500

Q: Look up the DOS at the Fermi energy of the second one.
A: 11.74 states/eV/f.u.